P | Computed, not measured: crystalline KSCl3 at its relaxed geometry at the PBE-GGA level of DFT.

Geometry as extended XYZ:
```
5
Lattice="-1.313 5.177 -2.563 -4.174 0.967 4.091 3.993 2.712 3.433" Properties=species:S:1:pos:R:3 pbc="T T T"
Cl -0.657 2.588 -1.281
Cl -2.087 0.483 2.046
Cl 1.997 1.356 1.717
K 0.000 0.000 0.000
S -0.747 4.428 2.481
```

total magnetic moment	0.800	μB per atom
mass density	1.42	Mg/m³


Q | Computed, not measured: crystalline KSCl3 at its relaxed geometry at the PBE-GGA level of DFT.

Geometry as extended XYZ:
```
5
Lattice="5.035 0.000 0.000 0.000 5.035 0.000 0.000 0.000 5.035" Properties=species:S:1:pos:R:3 pbc="T T T"
Cl 0.000 0.000 2.518
Cl 2.518 0.000 0.000
Cl 0.000 2.518 0.000
S 0.000 0.000 0.000
K 2.518 2.518 2.518
```

total magnetic moment	0.000	μB per atom
mass density	2.31	Mg/m³


Which of them is the most stable? Correct choice: Q.


P | Computed, not measured: crystalline KSbS2Cl at its relaxed geometry at the PBE-GGA level of DFT.

Geometry as extended XYZ:
```
5
Lattice="5.482 0.000 0.000 0.000 5.482 0.000 0.000 0.000 5.298" Properties=species:S:1:pos:R:3 pbc="T T T"
Sb 2.741 2.741 2.649
Cl 0.000 0.000 2.649
S 0.000 2.741 0.000
S 2.741 0.000 0.000
K 0.000 0.000 0.000
```

total magnetic moment	0.201	μB per atom
mass density	2.72	Mg/m³


Q | Computed, not measured: crystalline KSbS2Cl at its relaxed geometry at the PBE-GGA level of DFT.

Geometry as extended XYZ:
```
5
Lattice="-1.719 0.230 -4.796 -4.548 -1.710 1.549 -1.655 5.164 0.841" Properties=species:S:1:pos:R:3 pbc="T T T"
K -3.962 1.842 -1.203
Cl -0.828 2.582 0.420
S -0.860 0.115 -2.398
S -2.274 -0.855 0.774
Sb 0.000 0.000 0.000
```

total magnetic moment	0.000	μB per atom
mass density	3.03	Mg/m³


Which of them is the most stable? Correct choice: Q.


P | Computed, not measured: crystalline KSeS2Cl at its relaxed geometry at the PBE-GGA level of DFT.

Geometry as extended XYZ:
```
5
Lattice="5.897 0.000 0.000 0.000 5.897 0.000 0.000 0.000 5.575" Properties=species:S:1:pos:R:3 pbc="T T T"
S 0.000 2.949 0.000
S 2.949 0.000 0.000
Cl 0.000 0.000 2.788
Se 2.949 2.949 2.788
K 0.000 0.000 0.000
```

total magnetic moment	0.037	μB per atom
mass density	1.86	Mg/m³


Q | Computed, not measured: crystalline KSeS2Cl at its relaxed geometry at the PBE-GGA level of DFT.

Geometry as extended XYZ:
```
5
Lattice="-2.957 -3.261 -2.078 3.295 -4.025 1.628 -2.508 -0.373 4.154" Properties=species:S:1:pos:R:3 pbc="T T T"
K -1.085 -3.829 1.852
Se 0.000 0.000 0.000
Cl 1.647 -2.012 0.814
S -1.478 -1.630 -1.039
S -1.254 -0.186 2.077
```

total magnetic moment	0.000	μB per atom
mass density	2.80	Mg/m³


Which of them is the most stable? Correct choice: Q.


P | Computed, not measured: crystalline KSiSCl2 at its relaxed geometry at the PBE-GGA level of DFT.

Geometry as extended XYZ:
```
5
Lattice="5.477 0.000 0.000 0.000 5.477 0.000 0.000 0.000 5.640" Properties=species:S:1:pos:R:3 pbc="T T T"
K 0.000 0.000 0.000
Cl 2.739 0.000 0.000
Cl 0.000 2.739 0.000
S 0.000 0.000 2.820
Si 2.739 2.739 2.820
```

total magnetic moment	0.203	μB per atom
mass density	1.67	Mg/m³


Q | Computed, not measured: crystalline KSiSCl2 at its relaxed geometry at the PBE-GGA level of DFT.

Geometry as extended XYZ:
```
5
Lattice="-2.515 -3.665 2.531 4.327 -2.699 0.391 0.932 2.062 3.912" Properties=species:S:1:pos:R:3 pbc="T T T"
Cl 2.164 -1.349 0.196
Cl -1.257 -1.833 1.265
Si 0.000 0.000 0.000
K 1.372 -2.151 3.417
S 0.466 1.031 1.956
```

total magnetic moment	0.000	μB per atom
mass density	2.39	Mg/m³


Which of them is the most stable? Correct choice: Q.


P | Computed, not measured: crystalline KSiS2Cl at its relaxed geometry at the PBE-GGA level of DFT.

Geometry as extended XYZ:
```
5
Lattice="5.542 0.000 0.000 0.000 5.542 0.000 0.000 0.000 5.411" Properties=species:S:1:pos:R:3 pbc="T T T"
Si 2.771 2.771 2.705
S 0.000 2.771 0.000
S 2.771 0.000 0.000
Cl 0.000 0.000 2.705
K 0.000 0.000 0.000
```

total magnetic moment	0.401	μB per atom
mass density	1.67	Mg/m³


Q | Computed, not measured: crystalline KSiS2Cl at its relaxed geometry at the PBE-GGA level of DFT.

Geometry as extended XYZ:
```
5
Lattice="-3.135 3.181 -0.873 -3.010 -3.252 -1.040 -1.593 -0.164 5.122" Properties=species:S:1:pos:R:3 pbc="T T T"
S -1.568 1.591 -0.437
S -1.505 -1.626 -0.520
Cl -0.797 -0.082 2.561
Si 0.000 0.000 0.000
K -3.869 -0.117 1.604
```

total magnetic moment	0.000	μB per atom
mass density	2.49	Mg/m³


Which of them is the most stable? Correct choice: Q.


P | Computed, not measured: crystalline KSnS2Cl at its relaxed geometry at the PBE-GGA level of DFT.

Geometry as extended XYZ:
```
5
Lattice="5.034 0.000 0.000 0.000 5.034 0.000 0.000 0.000 5.510" Properties=species:S:1:pos:R:3 pbc="T T T"
S 2.517 0.000 0.000
S 0.000 2.517 0.000
K 2.517 2.517 2.755
Cl 0.000 0.000 2.755
Sn 0.000 0.000 0.000
```

total magnetic moment	0.000	μB per atom
mass density	3.06	Mg/m³


Q | Computed, not measured: crystalline KSnS2Cl at its relaxed geometry at the PBE-GGA level of DFT.

Geometry as extended XYZ:
```
5
Lattice="-4.342 1.887 -2.766 1.157 -3.405 -4.140 -3.104 -3.815 2.270" Properties=species:S:1:pos:R:3 pbc="T T T"
S 0.578 -1.702 -2.070
S -2.171 0.944 -1.383
Sn -3.145 -2.666 -2.318
K 0.000 0.000 0.000
Cl -1.552 -1.908 1.135
```

total magnetic moment	0.404	μB per atom
mass density	2.62	Mg/m³


Which of them is the most stable? Correct choice: P.


P | Computed, not measured: crystalline KSrSCl2 at its relaxed geometry at the PBE-GGA level of DFT.

Geometry as extended XYZ:
```
5
Lattice="-0.666 -5.153 1.744 4.123 0.669 3.550 -3.639 1.786 3.890" Properties=species:S:1:pos:R:3 pbc="T T T"
K 0.000 0.000 0.000
Sr -0.091 -1.349 4.592
S -1.819 0.893 1.945
Cl -0.333 -2.577 0.872
Cl 2.061 0.334 1.775
```

total magnetic moment	0.204	μB per atom
mass density	2.26	Mg/m³


Q | Computed, not measured: crystalline KSrSCl2 at its relaxed geometry at the PBE-GGA level of DFT.

Geometry as extended XYZ:
```
5
Lattice="5.685 0.000 0.000 0.000 5.685 0.000 0.000 0.000 5.838" Properties=species:S:1:pos:R:3 pbc="T T T"
Cl 0.000 2.843 0.000
Cl 2.843 0.000 0.000
Sr 0.000 0.000 0.000
K 2.843 2.843 2.919
S 0.000 0.000 2.919
```

total magnetic moment	0.201	μB per atom
mass density	2.02	Mg/m³


Which of them is the most stable? Correct choice: Q.


P | Computed, not measured: crystalline KTaSCl2 at its relaxed geometry at the PBE-GGA level of DFT.

Geometry as extended XYZ:
```
5
Lattice="5.245 0.000 0.000 0.000 5.245 0.000 0.000 0.000 5.536" Properties=species:S:1:pos:R:3 pbc="T T T"
S 0.000 0.000 2.768
K 0.000 0.000 0.000
Cl 0.000 2.623 0.000
Cl 2.623 0.000 0.000
Ta 2.623 2.623 2.768
```

total magnetic moment	0.114	μB per atom
mass density	3.52	Mg/m³


Q | Computed, not measured: crystalline KTaSCl2 at its relaxed geometry at the PBE-GGA level of DFT.

Geometry as extended XYZ:
```
5
Lattice="4.991 0.000 0.000 0.000 4.991 0.000 0.000 0.000 4.807" Properties=species:S:1:pos:R:3 pbc="T T T"
Cl 0.000 2.495 0.000
Cl 2.495 0.000 0.000
Ta 0.000 0.000 0.000
K 2.495 2.495 2.404
S 0.000 0.000 2.404
```

total magnetic moment	0.077	μB per atom
mass density	4.48	Mg/m³


Which of them is the most stable? Correct choice: Q.


P | Computed, not measured: crystalline KTcSCl2 at its relaxed geometry at the PBE-GGA level of DFT.

Geometry as extended XYZ:
```
5
Lattice="-2.707 -0.177 -4.701 -0.808 -5.326 0.666 -4.776 1.063 2.710" Properties=species:S:1:pos:R:3 pbc="T T T"
K 0.000 0.000 0.000
Tc -4.145 -2.220 -0.663
Cl -1.354 -0.088 -2.351
Cl -0.404 -2.663 0.333
S -2.388 0.532 1.355
```

total magnetic moment	0.801	μB per atom
mass density	2.42	Mg/m³


Q | Computed, not measured: crystalline KTcSCl2 at its relaxed geometry at the PBE-GGA level of DFT.

Geometry as extended XYZ:
```
5
Lattice="-1.275 -4.837 -1.048 4.737 -0.879 -1.707 1.260 -1.226 4.127" Properties=species:S:1:pos:R:3 pbc="T T T"
Cl -0.638 -2.419 -0.524
Cl 2.368 -0.439 -0.854
Tc 0.000 0.000 0.000
S 0.630 -0.613 2.064
K 2.361 -3.471 0.686
```

total magnetic moment	0.141	μB per atom
mass density	3.40	Mg/m³


Which of them is the most stable? Correct choice: Q.


P | Computed, not measured: crystalline KTeS2Cl at its relaxed geometry at the PBE-GGA level of DFT.

Geometry as extended XYZ:
```
5
Lattice="5.524 0.000 0.000 0.000 5.524 0.000 0.000 0.000 5.291" Properties=species:S:1:pos:R:3 pbc="T T T"
S 0.000 2.762 0.000
S 2.762 0.000 0.000
Te 2.762 2.762 2.646
Cl 0.000 0.000 2.646
K 0.000 0.000 0.000
```

total magnetic moment	0.000	μB per atom
mass density	2.74	Mg/m³


Q | Computed, not measured: crystalline KTeS2Cl at its relaxed geometry at the PBE-GGA level of DFT.

Geometry as extended XYZ:
```
5
Lattice="5.144 0.000 0.000 0.000 5.144 0.000 0.000 0.000 5.484" Properties=species:S:1:pos:R:3 pbc="T T T"
Te 0.000 0.000 0.000
S 0.000 2.572 0.000
S 2.572 0.000 0.000
Cl 0.000 0.000 2.742
K 2.572 2.572 2.742
```

total magnetic moment	0.000	μB per atom
mass density	3.05	Mg/m³


Which of them is the most stable? Correct choice: Q.


P | Computed, not measured: crystalline KTiS2Cl at its relaxed geometry at the PBE-GGA level of DFT.

Geometry as extended XYZ:
```
5
Lattice="-4.150 -0.850 3.125 1.675 -4.911 0.889 2.772 1.696 4.143" Properties=species:S:1:pos:R:3 pbc="T T T"
S -2.075 -0.425 1.562
S 0.838 -2.455 0.444
K 0.000 0.000 0.000
Cl 1.386 0.848 2.072
Ti 0.149 -2.032 4.078
```

total magnetic moment	0.074	μB per atom
mass density	2.12	Mg/m³


Q | Computed, not measured: crystalline KTiS2Cl at its relaxed geometry at the PBE-GGA level of DFT.

Geometry as extended XYZ:
```
5
Lattice="4.739 0.000 0.000 0.000 4.739 0.000 0.000 0.000 5.097" Properties=species:S:1:pos:R:3 pbc="T T T"
Ti 0.000 0.000 0.000
Cl 0.000 0.000 2.549
S 0.000 2.369 0.000
S 2.369 0.000 0.000
K 2.369 2.369 2.549
```

total magnetic moment	0.000	μB per atom
mass density	2.71	Mg/m³


Which of them is the most stable? Correct choice: Q.


P | Computed, not measured: crystalline KYSCl2 at its relaxed geometry at the PBE-GGA level of DFT.

Geometry as extended XYZ:
```
5
Lattice="5.381 0.000 0.000 0.000 5.381 0.000 0.000 0.000 5.246" Properties=species:S:1:pos:R:3 pbc="T T T"
Cl 0.000 2.691 0.000
Cl 2.691 0.000 0.000
S 0.000 0.000 2.623
Y 0.000 0.000 0.000
K 2.691 2.691 2.623
```

total magnetic moment	0.000	μB per atom
mass density	2.53	Mg/m³


Q | Computed, not measured: crystalline KYSCl2 at its relaxed geometry at the PBE-GGA level of DFT.

Geometry as extended XYZ:
```
5
Lattice="5.146 0.000 0.000 0.000 5.146 0.000 0.000 0.000 5.671" Properties=species:S:1:pos:R:3 pbc="T T T"
Cl 0.000 2.573 0.000
Cl 2.573 0.000 0.000
S 0.000 0.000 2.835
K 0.000 0.000 0.000
Y 2.573 2.573 2.835
```

total magnetic moment	0.000	μB per atom
mass density	2.55	Mg/m³


Which of them is the most stable? Correct choice: P.